A plane-wave DFT calculation with GGA+U was carried out for a geometry-optimized BaSrFe4O8 structure.

Summary:
Polymorph energy (0 for the lowest one)   468 meV per atom

```
data_BaSrFe4O8
_chemical_formula_sum 'Ba1 Sr1 Fe4 O8'
_symmetry_space_group_name_H-M 'P 1'
_symmetry_Int_Tables_number 1
_symmetry_space_group_name_Hall 'P 1'
_cell_length_a 5.992
_cell_length_b 5.992
_cell_length_c 10.027
_cell_angle_alpha 90.00
_cell_angle_beta 90.00
_cell_angle_gamma 120.00
loop_
_atom_site_label
_atom_site_type_symbol
_atom_site_fract_x
_atom_site_fract_y
_atom_site_fract_z
O1 O 0.500 0.500 0.750
O2 O 0.000 0.500 0.250
O3 O 0.000 0.500 0.750
O4 O 0.500 0.500 0.250
O5 O 0.500 0.000 0.250
O6 O 0.500 0.000 0.750
O7 O 0.667 0.333 0.500
O8 O 0.333 0.667 0.000
Sr1 Sr 0.000 0.000 0.500
Fe1 Fe 0.333 0.667 0.188
Fe2 Fe 0.333 0.667 0.812
Fe3 Fe 0.667 0.333 0.688
Fe4 Fe 0.667 0.333 0.312
Ba1 Ba 0.000 0.000 0.000
```